Entry 1:
SrZnRh2: relaxed, PBE-GGA.

Geometry as CIF:
```
data_SrZnRh2
_space_group_name_H-M_alt 'P 4/m m m'
_space_group_IT_number 123
_space_group_name_Hall '-P 4 2'
_cell_length_a 4.371
_cell_length_b 4.371
_cell_length_c 3.788
_cell_angle_alpha 90.00
_cell_angle_beta 90.00
_cell_angle_gamma 90.00
loop_
_atom_site_label
_atom_site_fract_x
_atom_site_fract_y
_atom_site_fract_z
_atom_site_occupancy
Sr1 0.000 0.000 0.000 1
Zn1 0.500 0.500 0.000 1
Rh1 0.000 0.500 0.500 1
```

Summary:
Calculated total energy, eV/atom: -4.41
ΔE_f, meV/atom: 4

Entry 2:
Sr3Zn4Rh4: relaxed, PBE-GGA.

Geometry as CIF:
```
data_Sr3Zn4Rh4
_space_group_name_H-M_alt 'I -4 3 m'
_space_group_IT_number 217
_space_group_name_Hall 'I -4 2 3'
_cell_length_a 7.818
_cell_length_b 7.818
_cell_length_c 7.818
_cell_angle_alpha 90.00
_cell_angle_beta 90.00
_cell_angle_gamma 90.00
loop_
_atom_site_label
_atom_site_fract_x
_atom_site_fract_y
_atom_site_fract_z
_atom_site_occupancy
Sr1 0.000 0.000 0.500 1
Zn1 0.194 0.194 0.806 1
Rh1 0.123 0.123 0.123 1
```

Summary:
Calculated total energy, eV/atom: -4.00
ΔE_f, meV/atom: -406

Entry 3:
Sr3Zn2Rh: relaxed, PBE-GGA.

Geometry as CIF:
```
data_Sr3Zn2Rh
_space_group_name_H-M_alt 'P n m a'
_space_group_IT_number 62
_space_group_name_Hall '-P 2ac 2n'
_cell_length_a 12.730
_cell_length_b 4.416
_cell_length_c 13.029
_cell_angle_alpha 90.00
_cell_angle_beta 90.00
_cell_angle_gamma 90.00
loop_
_atom_site_label
_atom_site_fract_x
_atom_site_fract_y
_atom_site_fract_z
_atom_site_occupancy
Sr1 0.060 0.250 0.127 1
Sr2 0.113 0.750 0.551 1
Sr3 0.217 0.250 0.794 1
Zn1 0.034 0.750 0.316 1
Zn2 0.207 0.750 0.982 1
Rh1 0.127 0.250 0.368 1
```

Summary:
Calculated total energy, eV/atom: -2.81
ΔE_f, meV/atom: -319

Entry 4:
Sr2ZnRh3: relaxed, PBE-GGA.

Geometry as CIF:
```
data_Sr2ZnRh3
_space_group_name_H-M_alt 'R -3 m'
_space_group_IT_number 166
_space_group_name_Hall '-R 3 2"'
_cell_length_a 5.6213
_cell_length_b 5.6213
_cell_length_c 12.9304
_cell_angle_alpha 90.00
_cell_angle_beta 90.00
_cell_angle_gamma 120.00
loop_
_atom_site_label
_atom_site_fract_x
_atom_site_fract_y
_atom_site_fract_z
_atom_site_occupancy
Sr1 0.0000 0.0000 0.1247 1
Zn1 0.0000 0.0000 0.5000 1
Rh1 0.0000 0.5000 0.0000 1
```

Summary:
Calculated total energy, eV/atom: -4.79
ΔE_f, meV/atom: -341

Entry 5:
SrZn2Rh: relaxed, PBE-GGA.

Geometry as CIF:
```
data_SrZn2Rh
_space_group_name_H-M_alt 'P m m m'
_space_group_IT_number 47
_space_group_name_Hall '-P 2 2'
_cell_length_a 3.160
_cell_length_b 3.679
_cell_length_c 6.723
_cell_angle_alpha 90.00
_cell_angle_beta 90.00
_cell_angle_gamma 90.00
loop_
_atom_site_label
_atom_site_fract_x
_atom_site_fract_y
_atom_site_fract_z
_atom_site_occupancy
Sr1 0.000 0.000 0.000 1
Zn1 0.500 0.500 0.317 1
Rh1 0.000 0.000 0.500 1
```

Summary:
Calculated total energy, eV/atom: -3.09
ΔE_f, meV/atom: -198

Entry 6:
Sr2Zn3Rh: relaxed, PBE-GGA.

Geometry as CIF:
```
data_Sr2Zn3Rh
_space_group_name_H-M_alt 'I m m m'
_space_group_IT_number 71
_space_group_name_Hall '-I 2 2'
_cell_length_a 4.662
_cell_length_b 5.457
_cell_length_c 11.580
_cell_angle_alpha 90.00
_cell_angle_beta 90.00
_cell_angle_gamma 90.00
loop_
_atom_site_label
_atom_site_fract_x
_atom_site_fract_y
_atom_site_fract_z
_atom_site_occupancy
Sr1 0.000 0.000 0.209 1
Zn1 0.000 0.500 0.103 1
Zn2 0.000 0.500 0.500 1
Rh1 0.000 0.000 0.500 1
```

Summary:
Offset from the most stable computed form, meV per atom: 181
Calculated total energy, eV/atom: -2.54
ΔE_f, meV/atom: -121

Entry 7:
SrZn2Rh2: relaxed, PBE-GGA.

Geometry as CIF:
```
data_SrZn2Rh2
_space_group_name_H-M_alt 'P 4/m b m'
_space_group_IT_number 127
_space_group_name_Hall '-P 4 2ab'
_cell_length_a 7.578
_cell_length_b 7.578
_cell_length_c 3.034
_cell_angle_alpha 90.00
_cell_angle_beta 90.00
_cell_angle_gamma 90.00
loop_
_atom_site_label
_atom_site_fract_x
_atom_site_fract_y
_atom_site_fract_z
_atom_site_occupancy
Sr1 0.000 0.000 0.000 1
Zn1 0.147 0.353 0.500 1
Rh1 0.143 0.643 0.000 1
```

Summary:
Offset from the most stable computed form, meV per atom: 65
Calculated total energy, eV/atom: -4.06
ΔE_f, meV/atom: -277

Entry 8:
SrZn2Rh: relaxed, PBE-GGA.

Geometry as CIF:
```
data_SrZn2Rh
_space_group_name_H-M_alt 'I -4 m 2'
_space_group_IT_number 119
_space_group_name_Hall 'I -4 -2'
_cell_length_a 4.873
_cell_length_b 4.873
_cell_length_c 6.691
_cell_angle_alpha 90.00
_cell_angle_beta 90.00
_cell_angle_gamma 90.00
loop_
_atom_site_label
_atom_site_fract_x
_atom_site_fract_y
_atom_site_fract_z
_atom_site_occupancy
Sr1 0.000 0.000 0.000 1
Zn1 0.000 0.000 0.500 1
Zn2 0.000 0.500 0.250 1
Rh1 0.000 0.500 0.750 1
```

Summary:
Calculated total energy, eV/atom: -2.89
ΔE_f, meV/atom: 9

Which of these has the highest calculated total energy?
Sr2Zn3Rh

Copy entry 8 word for word.
SrZn2Rh: relaxed, PBE-GGA.

Geometry as CIF:
```
data_SrZn2Rh
_space_group_name_H-M_alt 'I -4 m 2'
_space_group_IT_number 119
_space_group_name_Hall 'I -4 -2'
_cell_length_a 4.873
_cell_length_b 4.873
_cell_length_c 6.691
_cell_angle_alpha 90.00
_cell_angle_beta 90.00
_cell_angle_gamma 90.00
loop_
_atom_site_label
_atom_site_fract_x
_atom_site_fract_y
_atom_site_fract_z
_atom_site_occupancy
Sr1 0.000 0.000 0.000 1
Zn1 0.000 0.000 0.500 1
Zn2 0.000 0.500 0.250 1
Rh1 0.000 0.500 0.750 1
```

Summary:
Calculated total energy, eV/atom: -2.89
ΔE_f, meV/atom: 9